PBE-GGA KPaZnN3, optimized geometry; symmetry = P2_1/m; D(E_F) = 2.80 states/eV/f.u.; raw total energy = -0.492 Ry/atom; formation energy from raw total energies = -0.5573 eV per atom
1.0
7.912 0.000 0.000
0.000 3.609 0.000
-2.219 0.000 7.943
K Pa Zn N
2 2 2 6
Cartesian
1.115 0.902 1.760
4.579 2.707 6.183
0.748 2.707 6.749
4.945 0.902 1.194
-0.843 0.902 4.895
6.537 2.707 3.047
-0.636 0.902 6.868
0.045 2.707 4.463
3.513 2.707 1.005
2.180 0.902 6.938
5.648 0.902 3.479
6.330 2.707 1.075


PBE-GGA NaNb3Si, optimized geometry; symmetry = Pm-3m; offset from the most stable computed form = 0.000 eV per atom; D(E_F) = 1.80 states/eV/f.u.; raw total energy = -0.481 Ry/atom; formation energy from raw total energies = 0.8495 eV per atom
1.0
4.787 0.000 0.000
0.000 4.787 0.000
0.000 0.000 4.787
Na Nb Si
1 3 1
Cartesian
0.000 0.000 0.000
0.000 2.393 2.393
2.393 0.000 2.393
2.393 2.393 0.000
2.393 2.393 2.393


PBE-GGA Zr3Cu2Ir2, optimized geometry; symmetry = R-3m; D(E_F) = 3.32 states/eV/f.u.; raw total energy = -0.563 Ry/atom; formation energy from the elements = -0.296 eV per atom
1.0
2.280 1.316 7.502
-2.280 1.316 7.502
0.000 -2.632 7.502
Zr Cu Ir
3 2 2
Cartesian
0.000 0.000 0.000
0.000 0.000 5.383
0.000 0.000 17.121
0.000 0.000 8.284
0.000 0.000 14.221
0.000 0.000 2.656
0.000 0.000 19.849


PBE-GGA Pm4NiRhCl2, optimized geometry; symmetry = P2/m; D(E_F) = 4.36 states/eV/f.u.; raw total energy = -0.406 Ry/atom; formation energy from raw total energies = -1.0485 eV per atom
1.0
7.021 0.000 0.000
0.000 4.038 0.000
-2.371 0.000 7.474
Pm Ni Rh Cl
4 1 1 2
Cartesian
1.154 0.000 1.503
-0.076 2.019 5.954
4.725 2.019 1.520
3.495 0.000 5.971
0.000 2.019 0.000
3.510 0.000 0.000
-1.186 0.000 3.737
2.325 2.019 3.737


PBE-GGA CsSrSc2Rh, optimized geometry; symmetry = P4/mmm; D(E_F) = 14.27 states/eV/f.u.; raw total energy = -0.237 Ry/atom; formation energy from the elements = 1.292 eV per atom
1.0
5.930 0.000 0.000
0.000 5.930 0.000
0.000 0.000 5.242
Cs Sr Sc Rh
1 1 2 1
Cartesian
0.000 0.000 0.000
2.965 2.965 2.621
0.000 2.965 2.621
2.965 0.000 2.621
2.965 2.965 0.000


PBE-GGA TbThTe3, optimized geometry; symmetry = Cmc2_1; offset from the most stable computed form = 0.000 eV per atom; D(E_F) = 3.21 states/eV/f.u.; raw total energy = -0.404 Ry/atom; formation energy from raw total energies = -1.2058 eV per atom
1.0
2.220 -11.199 0.000
2.220 11.199 0.000
0.000 0.000 7.696
Tb Th Te
2 2 6
Cartesian
2.220 7.531 3.848
2.220 -7.531 0.000
2.220 3.598 3.822
2.220 -3.598 7.670
2.220 9.284 1.332
2.220 5.588 6.399
2.220 1.983 1.216
2.220 -1.983 5.064
2.220 -5.588 2.551
2.220 -9.284 5.180


PBE-GGA ErTl3Bi2S6, optimized geometry; symmetry = C2/m; raw total energy = -0.328 Ry/atom; formation energy from raw total energies = -0.7757 eV per atom
1.0
3.555 -6.156 0.000
3.555 6.156 0.000
-2.368 0.000 7.463
Er Tl Bi S
1 3 2 6
Cartesian
0.000 0.000 0.000
2.371 4.093 3.731
2.371 0.000 3.731
2.371 -4.093 3.731
3.555 2.051 0.000
3.555 -2.051 0.000
1.147 1.986 1.521
-0.075 0.000 5.934
1.147 -1.986 1.521
3.595 1.986 5.941
4.817 0.000 1.528
3.595 -1.986 5.941


PBE-GGA SmHo2ScTl2, optimized geometry; symmetry = Pmc2_1; D(E_F) = 6.45 states/eV/f.u.; raw total energy = -0.324 Ry/atom; formation energy from the elements = -0.258 eV per atom
1.0
4.971 0.000 0.000
0.000 9.786 0.000
0.000 0.000 6.916
Sm Ho Sc Tl
2 4 2 4
Cartesian
0.000 0.474 0.000
0.000 9.312 3.458
0.000 3.068 2.707
0.000 6.718 6.166
2.486 4.408 0.684
2.486 5.377 4.142
2.486 1.935 4.920
2.486 7.850 1.462
0.000 3.568 5.795
0.000 6.218 2.337
2.486 1.207 1.903
2.486 8.578 5.362


PBE-GGA Rb3Tm2CdS6, optimized geometry; symmetry = C2/m; D(E_F) = 13.39 states/eV/f.u.; raw total energy = -0.331 Ry/atom; formation energy from raw total energies = -1.3824 eV per atom
1.0
3.483 -6.030 0.000
3.483 6.030 0.000
-2.310 0.000 7.706
Rb Tm Cd S
3 2 1 6
Cartesian
0.000 0.000 0.000
3.483 1.974 0.000
3.483 -1.974 0.000
2.328 4.015 3.853
2.328 -4.015 3.853
2.328 0.000 3.853
1.140 2.052 2.374
-0.041 0.000 5.324
1.140 -2.052 2.374
3.516 2.052 5.332
4.697 0.000 2.382
3.516 -2.052 5.332


PBE-GGA LaDy2TmS4, optimized geometry; symmetry = P2/m; D(E_F) = 4.76 states/eV/f.u.; raw total energy = -0.470 Ry/atom; formation energy from raw total energies = -2.0031 eV per atom
1.0
6.833 0.000 0.000
0.000 3.910 0.000
-2.245 0.000 6.553
La Dy Tm S
1 2 1 4
Cartesian
0.000 0.000 0.000
2.294 0.000 3.277
3.417 1.955 0.000
-1.122 1.955 3.277
0.060 0.000 4.842
1.186 1.955 1.742
3.402 1.955 4.812
4.529 0.000 1.711


PBE-GGA YCu2AsBr, optimized geometry; symmetry = P4/mmm; D(E_F) = 3.53 states/eV/f.u.; raw total energy = -0.303 Ry/atom; formation energy from raw total energies = 0.0777 eV per atom
1.0
4.357 0.000 0.000
0.000 4.357 0.000
0.000 0.000 6.602
Y Cu As Br
1 2 1 1
Cartesian
0.000 0.000 0.000
0.000 2.178 3.301
2.178 0.000 3.301
2.178 2.178 3.301
2.178 2.178 0.000


PBE-GGA TlCo2Sn2, optimized geometry; symmetry = I4/mmm; offset from the most stable computed form = 0.074 eV per atom; D(E_F) = 4.30 states/eV/f.u.; raw total energy = -0.339 Ry/atom; formation energy from the elements = 0.299 eV per atom
1.0
4.298 0.000 0.000
0.000 4.298 0.000
0.000 0.000 11.414
Tl Co Sn
2 4 4
Cartesian
0.000 0.000 0.000
2.149 2.149 5.707
0.000 2.149 2.854
0.000 2.149 8.561
2.149 0.000 2.854
2.149 0.000 8.561
0.000 0.000 4.176
0.000 0.000 7.239
2.149 2.149 1.531
2.149 2.149 9.883


PBE-GGA CoRe2As, optimized geometry; symmetry = P4mm; D(E_F) = 2.57 states/eV/f.u.; raw total energy = -0.662 Ry/atom; formation energy from the elements = 0.161 eV per atom
1.0
2.912 0.000 0.000
0.000 2.912 0.000
0.000 0.000 6.570
Co Re As
1 2 1
Cartesian
0.000 0.000 0.000
0.000 0.000 3.481
1.456 1.456 1.774
1.456 1.456 5.214


PBE-GGA KYPb, optimized geometry; symmetry = P2_1; offset from the most stable computed form = 0.077 eV per atom; D(E_F) = 2.08 states/eV/f.u.; raw total energy = -0.292 Ry/atom; formation energy from the elements = -0.213 eV per atom
1.0
4.563 0.000 0.000
0.000 4.342 0.000
-2.276 0.000 12.973
K Y Pb
2 2 2
Cartesian
-0.001 0.000 4.677
2.288 2.171 8.295
0.006 2.187 11.628
2.281 0.016 1.345
-0.001 2.188 1.460
2.288 0.016 11.513


PBE-GGA Ca2ZnAg, optimized geometry; symmetry = Imm2; D(E_F) = 3.08 states/eV/f.u.; raw total energy = -0.164 Ry/atom; formation energy from the elements = -0.195 eV per atom
1.0
3.694 0.000 0.000
0.000 5.160 0.000
0.000 0.000 10.732
Ca Zn Ag
4 2 2
Cartesian
0.000 0.000 0.000
0.000 2.580 2.220
1.847 0.000 7.586
1.847 2.580 5.366
0.000 2.580 8.145
1.847 0.000 2.779
0.000 0.000 4.768
1.847 2.580 10.134


PBE-GGA ScAlAs, optimized geometry; symmetry = P3m1; D(E_F) = 3.01 states/eV/f.u.; raw total energy = -0.390 Ry/atom; formation energy from the elements = -0.394 eV per atom
1.0
3.754 0.000 0.000
-1.877 3.251 0.000
0.000 0.000 5.236
Sc Al As
1 1 1
Cartesian
0.000 0.000 0.000
1.877 1.084 2.218
0.000 2.167 3.593


PBE-GGA Ge2BiPd2, optimized geometry; symmetry = P4/mbm; offset from the most stable computed form = 0.057 eV per atom; D(E_F) = 1.72 states/eV/f.u.; raw total energy = -0.358 Ry/atom; formation energy from the elements = -0.165 eV per atom
1.0
7.774 0.000 0.000
0.000 7.774 0.000
0.000 0.000 3.157
Ge Bi Pd
4 2 4
Cartesian
1.147 2.739 0.000
2.739 6.626 0.000
5.034 1.147 0.000
6.626 5.034 0.000
0.000 0.000 1.579
3.887 3.887 1.579
1.058 4.945 1.579
2.829 1.058 1.579
4.945 6.715 1.579
6.715 2.829 1.579


PBE-GGA Pm9PrIn2, optimized geometry; symmetry = P4/mmm; D(E_F) = 14.53 states/eV/f.u.; raw total energy = -0.337 Ry/atom; formation energy from the elements = -0.169 eV per atom
1.0
4.991 0.000 0.000
0.000 4.991 0.000
0.000 0.000 15.365
Pm Pr In
9 1 2
Cartesian
0.000 0.000 0.000
0.000 0.000 5.229
0.000 0.000 10.136
0.000 2.495 2.705
0.000 2.495 7.683
0.000 2.495 12.661
2.495 0.000 2.705
2.495 0.000 7.683
2.495 0.000 12.661
2.495 2.495 0.000
2.495 2.495 5.208
2.495 2.495 10.157


PBE-GGA TbNd12Sm7, optimized geometry; symmetry = R-3; offset from the most stable computed form = 0.025 eV per atom; D(E_F) = 26.46 states/eV/f.u.; raw total energy = -0.330 Ry/atom; formation energy from the elements = 0.252 eV per atom
1.0
6.523 3.766 4.782
-6.523 3.766 4.782
0.000 -7.533 4.782
Tb Nd Sm
1 12 7
Cartesian
0.000 0.000 0.000
-1.734 -1.529 5.027
-3.741 1.136 5.922
-2.854 -2.672 8.424
0.887 -3.808 5.922
-0.457 2.266 5.027
2.191 -0.738 5.027
-2.191 0.738 9.319
0.457 -2.266 9.319
-0.887 3.808 8.424
2.854 2.672 5.922
3.741 -1.136 8.424
1.734 1.529 9.319
-0.413 -2.222 2.249
-1.718 1.469 2.249
2.131 0.753 2.249
0.000 0.000 7.173
-2.131 -0.753 12.097
1.718 -1.469 12.097
0.413 2.222 12.097


PBE-GGA MnReCl, optimized geometry; symmetry = Fmm2; offset from the most stable computed form = 0.024 eV per atom; D(E_F) = 1.41 states/eV/f.u.; raw total energy = -0.544 Ry/atom; formation energy from raw total energies = 0.4231 eV per atom
1.0
3.011 0.000 0.000
0.000 4.964 0.000
0.000 0.000 12.938
Mn Re Cl
4 4 4
Cartesian
0.000 0.000 0.000
0.000 2.482 6.469
1.505 0.000 6.469
1.505 2.482 0.000
0.000 0.000 8.376
0.000 2.482 1.907
1.505 0.000 1.907
1.505 2.482 8.376
0.000 0.000 4.595
0.000 2.482 11.065
1.505 0.000 11.065
1.505 2.482 4.595